Material: Re2MoPt
Method: DFT, PBE
State: relaxed

The crystal system is trigonal. For the formation energy, the calculation gives 0.0849 eV per atom. The density is 17.969 g/cm3. The total DFT energy (no corrections) is -10.357 eV per atom. For the total moment, the calculation gives 0.000 μB/f.u. Its density of states at the Fermi level is 11.84 states/eV per cell.

The structure belongs to space group R-3m (No. 166, hexagonal axes); the cell edges are 2.7780, 2.7780 and 27.5208 Å and the angles 90.00°, 90.00° and 120.00°. Symmetry generates all atoms from Re at (0.0000, 0.0000, 0.2494), Mo at (0.0000, 0.0000, 0.5000) and Pt at (0.0000, 0.0000, 0.0000).

***

Material: Re2MoPt
Method: DFT, PBE
State: relaxed

The crystal system is tetragonal. For the formation energy, the calculation gives 0.1467 eV per atom. The density is 17.784 g/cm3. The total DFT energy (no corrections) is -10.295 eV per atom. For the total moment, the calculation gives 0.000 μB/f.u. Its density of states at the Fermi level is 3.43 states/eV per cell.

The structure belongs to space group P4mm (No. 99); the cell edges are 3.308, 3.308 and 5.661 Å and the angles 90.00°, 90.00° and 90.00°. Symmetry generates all atoms from Re at (0.000, 0.000, 0.000), Re at (0.500, 0.500, 0.237), Mo at (0.000, 0.000, 0.494) and Pt at (0.500, 0.500, 0.744).

***

Material: ReMoPt
Method: DFT, PBE
State: relaxed

The crystal system is tetragonal. For the formation energy, the calculation gives 0.1284 eV per atom. The density is 16.780 g/cm3. The total DFT energy (no corrections) is -9.645 eV per atom. For the total moment, the calculation gives 0.000 μB/f.u. Its density of states at the Fermi level is 7.94 states/eV per cell.

The structure belongs to space group I4mm (No. 107); the cell edges are 3.303, 3.303 and 8.659 Å and the angles 90.00°, 90.00° and 90.00°. Symmetry generates all atoms from Re at (0.000, 0.000, 0.000), Mo at (0.000, 0.000, 0.352) and Pt at (0.000, 0.000, 0.678).